# 1
Computed, not measured: Ag3GeI2F6 after structural relaxation at the PBE level of DFT.

Uncorrected formation energy in eV/atom: -1.41
Raw total energy in eV per atom: -3.699

Geometry as CIF:
```
data_Ag3GeI2F6
_cell_length_a 13.2415
_cell_length_b 6.5569
_cell_length_c 5.3995
_cell_angle_alpha 90.00
_cell_angle_beta 90.62
_cell_angle_gamma 90.00
_symmetry_space_group_name_H-M 'C 1 2/m 1'
_symmetry_Int_Tables_number 12
loop_
_symmetry_equiv_pos_as_xyz
'x,y,z'
'-x,-y,-z'
'-x,y,-z'
'x,-y,z'
'x+1/2,y+1/2,z'
'-x+1/2,-y+1/2,-z'
'-x+1/2,y+1/2,-z'
'x+1/2,-y+1/2,z'
loop_
_atom_site_label
_atom_site_type_symbol
_atom_site_fract_x
_atom_site_fract_y
_atom_site_fract_z
_atom_site_occupancy
Ag1 Ag 0.0000 0.0000 0.0000 1
Ag2 Ag 0.2500 0.2500 0.5000 1
Ge1 Ge 0.0000 0.5000 0.5000 1
I1 I 0.2021 0.0000 0.1076 1
F1 F 0.0588 0.2995 0.6927 1
F2 F 0.1144 0.5000 0.3080 1
```


# 2
Computed, not measured: Re2Au after structural relaxation at the PBE level of DFT.

Raw total energy in eV per atom: -8.627
Formation energy from the elements in meV per atom: 764

Geometry as CIF:
```
data_Re2Au
_cell_length_a 4.4817
_cell_length_b 4.4817
_cell_length_c 5.4707
_cell_angle_alpha 90.00
_cell_angle_beta 90.00
_cell_angle_gamma 120.00
_symmetry_space_group_name_H-M 'P 63/m m c'
_symmetry_Int_Tables_number 194
_symmetry_space_group_name_Hall '-P 6c 2c'
loop_
_atom_site_label
_atom_site_type_symbol
_atom_site_fract_x
_atom_site_fract_y
_atom_site_fract_z
_atom_site_occupancy
Re1 Re 0.0000 0.0000 0.0000 1
Re2 Re 0.3333 0.6667 0.2500 1
Au1 Au 0.3333 0.6667 0.7500 1
```


# 3
Computed, not measured: SrBiS2Br after structural relaxation at the PBE level of DFT.

Uncorrected formation energy in eV/atom: -0.76
Raw total energy in eV per atom: -3.859

Geometry as CIF:
```
data_SrBiS2Br
_cell_length_a 5.3794
_cell_length_b 5.3794
_cell_length_c 5.5535
_cell_angle_alpha 90.00
_cell_angle_beta 90.00
_cell_angle_gamma 90.00
_symmetry_space_group_name_H-M 'P 4/m m m'
_symmetry_Int_Tables_number 123
_symmetry_space_group_name_Hall '-P 4 2'
loop_
_atom_site_label
_atom_site_type_symbol
_atom_site_fract_x
_atom_site_fract_y
_atom_site_fract_z
_atom_site_occupancy
Sr1 Sr 0.0000 0.0000 0.0000 1
Bi1 Bi 0.5000 0.5000 0.5000 1
S1 S 0.0000 0.5000 0.5000 1
Br1 Br 0.5000 0.5000 0.0000 1
```


# 4
Computed, not measured: SrAsI2N after structural relaxation at the PBE level of DFT.

Uncorrected formation energy in eV/atom: -0.10
Raw total energy in eV per atom: -3.649

Geometry as CIF:
```
data_SrAsI2N
_cell_length_a 6.1766
_cell_length_b 6.1766
_cell_length_c 3.8188
_cell_angle_alpha 90.00
_cell_angle_beta 90.00
_cell_angle_gamma 90.00
_symmetry_space_group_name_H-M 'P 4/m m m'
_symmetry_Int_Tables_number 123
_symmetry_space_group_name_Hall '-P 4 2'
loop_
_atom_site_label
_atom_site_type_symbol
_atom_site_fract_x
_atom_site_fract_y
_atom_site_fract_z
_atom_site_occupancy
Sr1 Sr 0.0000 0.0000 0.0000 1
As1 As 0.5000 0.5000 0.5000 1
I1 I 0.0000 0.5000 0.5000 1
N1 N 0.5000 0.5000 0.0000 1
```


# 5
Computed, not measured: MgSnPd2Br after structural relaxation at the PBE level of DFT.

Uncorrected formation energy in eV/atom: 0.30
Raw total energy in eV per atom: -3.228

Geometry as CIF:
```
data_MgSnPd2Br
_cell_length_a 5.0225
_cell_length_b 5.0225
_cell_length_c 5.5536
_cell_angle_alpha 90.00
_cell_angle_beta 90.00
_cell_angle_gamma 90.00
_symmetry_space_group_name_H-M 'P 4/m m m'
_symmetry_Int_Tables_number 123
_symmetry_space_group_name_Hall '-P 4 2'
loop_
_atom_site_label
_atom_site_type_symbol
_atom_site_fract_x
_atom_site_fract_y
_atom_site_fract_z
_atom_site_occupancy
Mg1 Mg 0.0000 0.0000 0.0000 1
Sn1 Sn 0.0000 0.0000 0.5000 1
Pd1 Pd 0.0000 0.5000 0.5000 1
Br1 Br 0.5000 0.5000 0.0000 1
```


# 6
Computed, not measured: YTe2AuI after structural relaxation at the PBE level of DFT.

Uncorrected formation energy in eV/atom: -0.09
Raw total energy in eV per atom: -3.606

Geometry as CIF:
```
data_YTe2AuI
_cell_length_a 5.5298
_cell_length_b 5.5298
_cell_length_c 5.3532
_cell_angle_alpha 90.00
_cell_angle_beta 90.00
_cell_angle_gamma 90.00
_symmetry_space_group_name_H-M 'P 4/m m m'
_symmetry_Int_Tables_number 123
_symmetry_space_group_name_Hall '-P 4 2'
loop_
_atom_site_label
_atom_site_type_symbol
_atom_site_fract_x
_atom_site_fract_y
_atom_site_fract_z
_atom_site_occupancy
Y1 Y 0.0000 0.0000 0.0000 1
Te1 Te 0.0000 0.5000 0.5000 1
Au1 Au 0.5000 0.5000 0.5000 1
I1 I 0.5000 0.5000 0.0000 1
```